! La2MgZn, relaxed, DFT PBE; values from VASP
! space group = No. 225
! E = -3.3662 eV/atom
! calculated volume = 115 Å³/f.u.
! density of states at the Fermi level = 1.02 states/eV per atom
! calculated density = 5324 kg/m³
! energy of formation from the pure elements = -0.7 eV per formula unit
&SYSTEM
  ibrav = 0, nat = 4, ntyp = 3
/
ATOMIC_SPECIES
Zn 65.41 Zn.upf
La 138.91 La.upf
Mg 24.30 Mg.upf
CELL_PARAMETERS angstrom
3.8619 -2.5989 -2.8394
2.7429 -4.1278 2.2734
-0.8467 -5.1070 -1.7125
ATOMIC_POSITIONS crystal
Zn 0.5000 0.5000 0.5000
La 0.2500 0.2500 0.2500
La 0.7500 0.7500 0.7500
Mg 0.0000 0.0000 0.0000


! La2Ir2F, relaxed, DFT PBE; values from VASP
! space group = No. 139
! E = -6.7198 eV/atom
! calculated volume = 119 Å³/f.u.
! density of states at the Fermi level = 0.62 states/eV per atom
! ΔE_f (raw) = -4.15 eV/f.u.
! calculated density = 9483 kg/m³
&SYSTEM
  ibrav = 0, nat = 5, ntyp = 3
/
ATOMIC_SPECIES
La 138.91 La.upf
F 19.00 F.upf
Ir 192.22 Ir.upf
CELL_PARAMETERS angstrom
-2.5798 -2.0295 -4.3607
3.0908 -4.4910 0.2616
-2.4482 -4.9812 0.3509
ATOMIC_POSITIONS crystal
La 0.2500 0.7500 0.5000
La 0.7500 0.2500 0.5000
F 0.0000 0.0000 0.0000
Ir 0.6576 0.6576 0.6849
Ir 0.3424 0.3424 0.3151


Question: Which formula does entry 2 have?
Answer: La2Ir2F


Question: Which of these has the lowest density of states at the Fermi level?
Answer: La2Ir2F


Question: Which of these has the lowest calculated volume?
Answer: La2MgZn


Question: What is the formula in the second record?
Answer: La2Ir2F